Version w
The following is a PBE calculation of a relaxed Pr4Tm crystal, from Alexandria.

Cell lengths 13.171, 13.171, 13.171 Å; angles 163.93, 163.93, 22.80 degrees
Positions (direct):
Pr (0.096, 0.096, 0.000)
Pr (0.302, 0.302, 0.000)
Pr (0.698, 0.698, 0.000)
Pr (0.904, 0.904, 0.000)
Tm (0.500, 0.500, 0.000)

Summary:
symmetry: I4/mmm
spin magnetization: 0.000 μB per atom
calculated density: 6.951 g/cm³

***

Version x
The following is a PBE calculation of a relaxed Pr4Tm crystal, from Alexandria.

Cell lengths 5.879, 5.879, 5.879 Å; angles 90.00, 90.00, 90.00 degrees
Positions (direct):
Pr (0.000, 0.000, 0.000)
Pr (0.000, 0.500, 0.500)
Pr (0.500, 0.000, 0.500)
Pr (0.500, 0.500, 0.000)
Tm (0.500, 0.500, 0.500)

Summary:
symmetry: Pm-3m
spin magnetization: 0.007 μB per atom
calculated density: 5.988 g/cm³

***

Computed relative energies in units of meV/atom: version w 0; version x 603

***

Version w
The following is a PBE calculation of a relaxed Pr2Y5Tm12 crystal, from Alexandria.

Cell lengths 9.131, 9.131, 8.453 Å; angles 91.17, 91.17, 60.02 degrees
Positions (direct):
Pr (0.189, 0.811, 0.000)
Pr (0.811, 0.189, 0.000)
Y (0.197, 0.197, 0.005)
Y (0.265, 0.265, 0.422)
Y (0.500, 0.500, 0.500)
Y (0.735, 0.735, 0.578)
Y (0.803, 0.803, 0.995)
Tm (0.055, 0.055, 0.328)
Tm (0.066, 0.681, 0.350)
Tm (0.161, 0.524, 0.752)
Tm (0.319, 0.934, 0.650)
Tm (0.405, 0.405, 0.115)
Tm (0.476, 0.839, 0.248)
Tm (0.524, 0.161, 0.752)
Tm (0.595, 0.595, 0.885)
Tm (0.681, 0.066, 0.350)
Tm (0.839, 0.476, 0.248)
Tm (0.934, 0.319, 0.650)
Tm (0.945, 0.945, 0.672)

Summary:
symmetry: C2/m
spin magnetization: 0.000 μB per atom
calculated density: 7.492 g/cm³

***

Version x
The following is a PBE calculation of a relaxed Pr2Y5Tm12 crystal, from Alexandria.

Cell lengths 6.122, 9.361, 10.597 Å; angles 100.99, 95.56, 90.08 degrees
Positions (direct):
Pr (0.081, 0.316, 0.473)
Pr (0.919, 0.684, 0.527)
Y (0.238, 0.947, 0.419)
Y (0.341, 0.369, 0.053)
Y (0.500, 0.000, 0.000)
Y (0.659, 0.631, 0.947)
Y (0.762, 0.053, 0.581)
Tm (0.024, 0.104, 0.156)
Tm (0.132, 0.526, 0.791)
Tm (0.183, 0.737, 0.104)
Tm (0.291, 0.159, 0.739)
Tm (0.396, 0.580, 0.367)
Tm (0.447, 0.790, 0.686)
Tm (0.553, 0.210, 0.314)
Tm (0.604, 0.420, 0.633)
Tm (0.709, 0.841, 0.261)
Tm (0.817, 0.263, 0.896)
Tm (0.868, 0.474, 0.209)
Tm (0.976, 0.896, 0.844)

Summary:
symmetry: P-1
spin magnetization: 0.000 μB per atom
calculated density: 7.708 g/cm³

***

Computed relative energies in units of meV/atom: version w 102; version x 0

***

Version w
The following is a PBE calculation of a relaxed PrYTm2 crystal, from Alexandria.

Cell lengths 11.762, 11.762, 11.762 Å; angles 17.47, 17.47, 17.47 degrees
Positions (direct):
Pr (0.000, 0.000, 0.000)
Y (0.500, 0.500, 0.500)
Tm (0.249, 0.249, 0.249)
Tm (0.751, 0.751, 0.751)

Summary:
symmetry: R-3m
spin magnetization: 0.000 μB per atom
calculated density: 7.364 g/cm³

***

Version x
The following is a PBE calculation of a relaxed PrYTm2 crystal, from Alexandria.

Cell lengths 4.120, 4.120, 7.663 Å; angles 90.00, 90.00, 90.00 degrees
Positions (direct):
Pr (0.000, 0.000, 0.000)
Y (0.000, 0.000, 0.500)
Tm (0.500, 0.500, 0.258)
Tm (0.500, 0.500, 0.742)

Summary:
symmetry: P4/mmm
spin magnetization: 0.000 μB per atom
calculated density: 7.246 g/cm³

***

Version y
The following is a PBE calculation of a relaxed PrYTm2 crystal, from Alexandria.

Cell lengths 3.587, 3.587, 11.480 Å; angles 90.00, 90.00, 120.00 degrees
Positions (direct):
Pr (0.000, 0.000, 0.000)
Y (0.000, 0.000, 0.500)
Tm (0.333, 0.667, 0.747)
Tm (0.667, 0.333, 0.253)

Summary:
symmetry: P-3m1
spin magnetization: 0.000 μB per atom
calculated density: 7.370 g/cm³

***

Version z
The following is a PBE calculation of a relaxed PrYTm2 crystal, from Alexandria.

Cell lengths 6.268, 5.684, 7.298 Å; angles 90.00, 90.00, 90.00 degrees
Positions (direct):
Pr (0.000, 0.000, 0.000)
Pr (0.342, 0.500, 0.001)
Y (0.335, 0.500, 0.498)
Y (0.505, 0.000, 0.744)
Tm (0.000, 0.000, 0.498)
Tm (0.504, 0.000, 0.255)
Tm (0.833, 0.500, 0.256)
Tm (0.837, 0.500, 0.742)

Summary:
symmetry: Pm
spin magnetization: 0.000 μB per atom
calculated density: 7.251 g/cm³

***

Computed relative energies in units of meV/atom: version w 20; version x 97; version y 0; version z 9

***

Version w
The following is a PBE calculation of a relaxed PrYTm2 crystal, from Alexandria.

Cell lengths 5.058, 5.058, 5.017 Å; angles 90.00, 90.00, 90.00 degrees
Positions (direct):
Pr (0.000, 0.000, 0.000)
Y (0.500, 0.500, 0.000)
Tm (0.000, 0.500, 0.500)
Tm (0.500, 0.000, 0.500)

Summary:
symmetry: P4/mmm
spin magnetization: 0.000 μB per atom
calculated density: 7.344 g/cm³

***

Version x
The following is a PBE calculation of a relaxed PrYTm2 crystal, from Alexandria.

Cell lengths 5.686, 5.686, 5.686 Å; angles 60.00, 60.00, 60.00 degrees
Positions (direct):
Pr (0.000, 0.000, 0.000)
Y (0.500, 0.500, 0.500)
Tm (0.250, 0.250, 0.250)
Tm (0.750, 0.750, 0.750)

Summary:
symmetry: Fm-3m
spin magnetization: 0.000 μB per atom
calculated density: 7.252 g/cm³

***

Computed relative energies in units of meV/atom: version w 0; version x 78

***

Version w
The following is a PBE calculation of a relaxed Pr7Y2Tm2 crystal, from Alexandria.

Cell lengths 7.009, 7.009, 8.358 Å; angles 101.97, 101.97, 78.77 degrees
Positions (direct):
Pr (0.000, 0.000, 0.000)
Pr (0.082, 0.474, 0.820)
Pr (0.261, 0.261, 0.445)
Pr (0.474, 0.082, 0.820)
Pr (0.526, 0.918, 0.180)
Pr (0.739, 0.739, 0.555)
Pr (0.918, 0.526, 0.180)
Y (0.450, 0.450, 0.191)
Y (0.550, 0.550, 0.809)
Tm (0.212, 0.788, 0.500)
Tm (0.788, 0.212, 0.500)

Summary:
symmetry: C2/m
spin magnetization: 0.000 μB per atom
calculated density: 6.428 g/cm³

***

Version x
The following is a PBE calculation of a relaxed Pr7Y2Tm2 crystal, from Alexandria.

Cell lengths 8.182, 8.182, 6.185 Å; angles 105.40, 105.40, 90.29 degrees
Positions (direct):
Pr (0.000, 0.000, 0.000)
Pr (0.051, 0.585, 0.819)
Pr (0.415, 0.949, 0.181)
Pr (0.424, 0.424, 0.198)
Pr (0.576, 0.576, 0.802)
Pr (0.585, 0.051, 0.819)
Pr (0.949, 0.415, 0.181)
Y (0.211, 0.789, 0.500)
Y (0.789, 0.211, 0.500)
Tm (0.231, 0.231, 0.584)
Tm (0.769, 0.769, 0.416)

Summary:
symmetry: C2/m
spin magnetization: 0.000 μB per atom
calculated density: 6.501 g/cm³

***

Computed relative energies in units of meV/atom: version w 18; version x 0

***

Version w
The following is a PBE calculation of a relaxed Pr4Y2Tm crystal, from Alexandria.

Cell lengths 12.684, 6.869, 13.668 Å; angles 67.09, 29.92, 82.99 degrees
Positions (direct):
Pr (0.018, 0.982, 0.122)
Pr (0.128, 0.372, 0.232)
Pr (0.372, 0.128, 0.268)
Pr (0.459, 0.605, 0.255)
Pr (0.568, 0.995, 0.645)
Pr (0.605, 0.459, 0.682)
Pr (0.982, 0.018, 0.878)
Pr (0.995, 0.568, 0.791)
Y (0.064, 0.545, 0.004)
Y (0.246, 0.863, 0.186)
Y (0.545, 0.064, 0.387)
Y (0.863, 0.246, 0.705)
Tm (0.495, 0.495, 0.505)
Tm (0.745, 0.745, 0.755)

Summary:
symmetry: Fdd2
spin magnetization: 0.000 μB per atom
calculated density: 6.258 g/cm³

***

Version x
The following is a PBE calculation of a relaxed Pr4Y2Tm crystal, from Alexandria.

Cell lengths 7.260, 7.260, 6.072 Å; angles 90.00, 90.00, 129.26 degrees
Positions (direct):
Pr (0.136, 0.864, 0.000)
Pr (0.309, 0.691, 0.500)
Pr (0.691, 0.309, 0.500)
Pr (0.864, 0.136, 0.000)
Y (0.387, 0.613, 0.000)
Y (0.613, 0.387, 0.000)
Tm (0.000, 0.000, 0.500)

Summary:
symmetry: Cmmm
spin magnetization: 0.000 μB per atom
calculated density: 6.100 g/cm³

***

Computed relative energies in units of meV/atom: version w 0; version x 419

***

Version w
The following is a PBE calculation of a relaxed Pr7YTm3 crystal, from Alexandria.

Cell lengths 8.615, 8.615, 5.938 Å; angles 110.11, 110.11, 83.63 degrees
Positions (direct):
Pr (0.000, 0.000, 0.000)
Pr (0.097, 0.519, 0.308)
Pr (0.293, 0.293, 0.795)
Pr (0.481, 0.903, 0.692)
Pr (0.519, 0.097, 0.308)
Pr (0.707, 0.707, 0.205)
Pr (0.903, 0.481, 0.692)
Y (0.000, 0.000, 0.500)
Tm (0.295, 0.705, 0.000)
Tm (0.500, 0.500, 0.500)
Tm (0.705, 0.295, 0.000)

Summary:
symmetry: C2/m
spin magnetization: 0.000 μB per atom
calculated density: 6.760 g/cm³

***

Version x
The following is a PBE calculation of a relaxed Pr7YTm3 crystal, from Alexandria.

Cell lengths 10.342, 10.342, 12.710 Å; angles 114.71, 114.71, 40.84 degrees
Positions (direct):
Pr (0.079, 0.585, 0.472)
Pr (0.080, 0.587, 0.974)
Pr (0.206, 0.794, 0.750)
Pr (0.336, 0.351, 0.229)
Pr (0.351, 0.336, 0.729)
Pr (0.413, 0.920, 0.526)
Pr (0.415, 0.921, 0.028)
Pr (0.585, 0.079, 0.972)
Pr (0.587, 0.080, 0.474)
Pr (0.649, 0.664, 0.271)
Pr (0.664, 0.649, 0.771)
Pr (0.794, 0.206, 0.250)
Pr (0.920, 0.413, 0.026)
Pr (0.921, 0.415, 0.528)
Y (0.000, 0.000, 0.000)
Y (0.000, 0.000, 0.500)
Tm (0.167, 0.177, 0.274)
Tm (0.177, 0.167, 0.774)
Tm (0.500, 0.500, 0.000)
Tm (0.500, 0.500, 0.500)
Tm (0.823, 0.833, 0.226)
Tm (0.833, 0.823, 0.726)

Summary:
symmetry: C2/c
spin magnetization: 0.000 μB per atom
calculated density: 6.604 g/cm³

***

Computed relative energies in units of meV/atom: version w 38; version x 0

***

Version w
The following is a PBE calculation of a relaxed PrY7Tm4 crystal, from Alexandria.

Cell lengths 6.205, 7.172, 8.829 Å; angles 89.97, 76.41, 89.96 degrees
Positions (direct):
Pr (0.000, 0.000, 0.000)
Y (0.000, 0.500, 0.000)
Y (0.223, 0.000, 0.336)
Y (0.280, 0.747, 0.663)
Y (0.499, 0.252, 0.999)
Y (0.501, 0.748, 0.001)
Y (0.720, 0.253, 0.337)
Y (0.777, 0.000, 0.664)
Tm (0.220, 0.500, 0.337)
Tm (0.277, 0.253, 0.664)
Tm (0.723, 0.747, 0.336)
Tm (0.780, 0.500, 0.663)

Summary:
symmetry: P-1
spin magnetization: 0.000 μB per atom
calculated density: 6.257 g/cm³

***

Version x
The following is a PBE calculation of a relaxed PrY7Tm4 crystal, from Alexandria.

Cell lengths 8.507, 8.507, 9.411 Å; angles 115.60, 115.60, 40.30 degrees
Positions (direct):
Pr (0.000, 0.000, 0.000)
Y (0.085, 0.085, 0.451)
Y (0.213, 0.213, 0.241)
Y (0.217, 0.217, 0.882)
Y (0.500, 0.500, 0.000)
Y (0.783, 0.783, 0.118)
Y (0.787, 0.787, 0.759)
Y (0.915, 0.915, 0.549)
Tm (0.330, 0.330, 0.618)
Tm (0.429, 0.429, 0.302)
Tm (0.571, 0.571, 0.698)
Tm (0.670, 0.670, 0.382)

Summary:
symmetry: C2/m
spin magnetization: 0.000 μB per atom
calculated density: 6.110 g/cm³

***

Computed relative energies in units of meV/atom: version w 0; version x 234

***

Version w
The following is a PBE calculation of a relaxed Pr4Y3Tm crystal, from Alexandria.

Cell lengths 12.041, 12.041, 6.872 Å; angles 106.21, 106.21, 16.76 degrees
Positions (direct):
Pr (0.123, 0.123, 0.368)
Pr (0.259, 0.259, 0.764)
Pr (0.741, 0.741, 0.236)
Pr (0.877, 0.877, 0.632)
Y (0.000, 0.000, 0.500)
Y (0.122, 0.122, 0.882)
Y (0.878, 0.878, 0.118)
Tm (0.500, 0.500, 0.000)

Summary:
symmetry: C2/m
spin magnetization: 0.000 μB per atom
calculated density: 6.021 g/cm³

***

Version x
The following is a PBE calculation of a relaxed Pr4Y3Tm crystal, from Alexandria.

Cell lengths 11.919, 11.919, 6.316 Å; angles 95.23, 95.23, 17.54 degrees
Positions (direct):
Pr (0.124, 0.124, 0.376)
Pr (0.375, 0.375, 0.125)
Pr (0.625, 0.625, 0.875)
Pr (0.876, 0.876, 0.624)
Y (0.000, 0.000, 0.000)
Y (0.250, 0.250, 0.750)
Y (0.750, 0.750, 0.250)
Tm (0.500, 0.500, 0.500)

Summary:
symmetry: C2/m
spin magnetization: 0.000 μB per atom
calculated density: 6.164 g/cm³

***

Computed relative energies in units of meV/atom: version w 154; version x 0

***

Version w
The following is a PBE calculation of a relaxed Pr6YTm12 crystal, from Alexandria.

Cell lengths 8.645, 8.645, 8.645 Å; angles 79.70, 79.70, 79.70 degrees
Positions (direct):
Pr (0.266, 0.266, 0.667)
Pr (0.266, 0.667, 0.266)
Pr (0.333, 0.734, 0.734)
Pr (0.667, 0.266, 0.266)
Pr (0.734, 0.333, 0.734)
Pr (0.734, 0.734, 0.333)
Y (0.500, 0.500, 0.500)
Tm (0.012, 0.012, 0.695)
Tm (0.012, 0.695, 0.012)
Tm (0.018, 0.362, 0.362)
Tm (0.305, 0.988, 0.988)
Tm (0.362, 0.018, 0.362)
Tm (0.362, 0.362, 0.018)
Tm (0.638, 0.638, 0.982)
Tm (0.638, 0.982, 0.638)
Tm (0.695, 0.012, 0.012)
Tm (0.982, 0.638, 0.638)
Tm (0.988, 0.305, 0.988)
Tm (0.988, 0.988, 0.305)

Summary:
symmetry: R-3m
spin magnetization: 0.000 μB per atom
calculated density: 7.955 g/cm³

***

Version x
The following is a PBE calculation of a relaxed Pr6YTm12 crystal, from Alexandria.

Cell lengths 8.712, 8.712, 8.712 Å; angles 98.68, 98.68, 98.68 degrees
Positions (direct):
Pr (0.155, 0.599, 0.599)
Pr (0.401, 0.401, 0.845)
Pr (0.401, 0.845, 0.401)
Pr (0.599, 0.155, 0.599)
Pr (0.599, 0.599, 0.155)
Pr (0.845, 0.401, 0.401)
Y (0.500, 0.500, 0.500)
Tm (0.000, 0.255, 0.745)
Tm (0.000, 0.745, 0.255)
Tm (0.145, 0.145, 0.419)
Tm (0.145, 0.419, 0.145)
Tm (0.255, 0.000, 0.745)
Tm (0.255, 0.745, 0.000)
Tm (0.419, 0.145, 0.145)
Tm (0.581, 0.855, 0.855)
Tm (0.745, 0.000, 0.255)
Tm (0.745, 0.255, 0.000)
Tm (0.855, 0.581, 0.855)
Tm (0.855, 0.855, 0.581)

Summary:
symmetry: R-3m
spin magnetization: 0.000 μB per atom
calculated density: 7.733 g/cm³

***

Computed relative energies in units of meV/atom: version w 0; version x 92